(1)
This record from Alexandria via LeMat-Bulk describes an optimized crystal structure of Rb2ErPd3F12. The functional is PBE-GGA.

Unit cell a=7.9643 b=7.9643 c=7.9643 alpha=57.51 beta=57.51 gamma=57.51
Site moments in Bohr magnetons follow the coordinates.
Atoms (fractional coordinates):
Rb 0.6156 0.6156 0.6156  0.00
Rb 0.3844 0.3844 0.3844  0.00
Er 0.0000 0.0000 0.0000  0.04
Pd 0.5000 0.0000 0.0000  1.22
Pd 0.0000 0.5000 0.0000  1.22
Pd 0.0000 0.0000 0.5000  1.22
F 0.3291 0.3291 0.9175  0.12
F 0.9197 0.9197 0.3330  0.08
F 0.3330 0.9197 0.9197  0.08
F 0.9175 0.3291 0.3291  0.12
F 0.9197 0.3330 0.9197  0.08
F 0.3291 0.9175 0.3291  0.12
F 0.6709 0.6709 0.0825  0.12
F 0.0803 0.0803 0.6670  0.08
F 0.6670 0.0803 0.0803  0.08
F 0.0825 0.6709 0.6709  0.12
F 0.0803 0.6670 0.0803  0.08
F 0.6709 0.0825 0.6709  0.12

(2)
This record from Alexandria via LeMat-Bulk describes an optimized crystal structure of RbErPdF6. The functional is PBE-GGA.

Unit cell a=8.2078 b=7.7578 c=8.0138 alpha=118.95 beta=120.80 gamma=90.00
Site moments in Bohr magnetons follow the coordinates.
Atoms (fractional coordinates):
Rb 0.8288 0.5788 0.6576  0.00
Rb 0.1712 0.4212 0.3424  0.00
Er 0.5000 0.0000 0.5000  0.03
Er 0.0000 0.0000 0.5000  0.03
Pd 0.5000 0.5000 0.0000  1.49
Pd 0.5000 0.0000 0.0000  1.49
F 0.4151 0.6651 0.8302  0.17
F 0.8127 0.0627 0.6254  0.00
F 0.8280 0.0837 0.2569  0.07
F 0.4289 0.6732 0.2569  0.07
F 0.4289 0.0837 0.2569  0.07
F 0.8280 0.6732 0.2569  0.07
F 0.5849 0.3349 0.1698  0.17
F 0.1873 0.9373 0.3746  0.00
F 0.1720 0.9163 0.7431  0.07
F 0.5711 0.3268 0.7431  0.07
F 0.5711 0.9163 0.7431  0.07
F 0.1720 0.3268 0.7431  0.07

(3)
This record from Alexandria via LeMat-Bulk describes an optimized crystal structure of PmErF6. The functional is PBE-GGA.

Unit cell a=5.9113 b=5.9151 c=6.3064 alpha=62.00 beta=61.99 gamma=59.95
Atoms (fractional coordinates):
Pm 0.0000 0.0000 0.0000
Er 0.5000 0.5000 0.5000
F 0.1725 0.3400 0.7432
F 0.7441 0.1726 0.7433
F 0.6599 0.2558 0.2570
F 0.2559 0.8274 0.2567
F 0.8275 0.6600 0.2568
F 0.3401 0.7442 0.7430

(4)
This record from Alexandria via LeMat-Bulk describes an optimized crystal structure of Pr2ErF8. The functional is PBE-GGA.

Unit cell a=3.8817 b=5.3980 c=8.2498 alpha=104.43 beta=103.61 gamma=90.00
Site moments in Bohr magnetons follow the coordinates.
Atoms (fractional coordinates):
Pr 0.8362 0.3366 0.6724  0.21
Pr 0.1638 0.6634 0.3276  0.21
Er 0.5000 0.0000 0.0000  0.01
F 0.4053 0.6135 0.8106  0.01
F 0.6286 0.9029 0.2572  0.01
F 0.7625 0.6730 0.5250  0.01
F 0.9769 0.2051 0.9539  0.00
F 0.2375 0.3270 0.4750  0.01
F 0.3714 0.0971 0.7428  0.01
F 0.5947 0.3865 0.1894  0.01
F 0.0231 0.7949 0.0461  0.00

(5)
This record from Alexandria via LeMat-Bulk describes an optimized crystal structure of Pr2ErF. The functional is PBE-GGA.

Unit cell a=3.8204 b=3.8204 c=8.9910 alpha=77.73 beta=77.73 gamma=60.00
Atoms (fractional coordinates):
Pr 0.7237 0.7237 0.8288
Pr 0.2763 0.2763 0.1712
F 0.0000 0.0000 0.0000
Er 0.5000 0.5000 0.5000

(6)
This record from Alexandria via LeMat-Bulk describes an optimized crystal structure of PrErF5. The functional is PBE-GGA.

Unit cell a=6.0706 b=6.0706 c=8.2481 alpha=70.36 beta=70.36 gamma=71.86
Atoms (fractional coordinates):
Pr 0.5026 0.4974 0.2500
Pr 0.4974 0.5026 0.7500
Er 0.0000 0.0000 0.0000
Er 0.0000 0.0000 0.5000
F 0.7687 0.7483 0.1204
F 0.3151 0.6732 0.4956
F 0.7483 0.7687 0.6204
F 0.8547 0.1453 0.2500
F 0.3268 0.6849 0.0044
F 0.6732 0.3151 0.9956
F 0.1453 0.8547 0.7500
F 0.2517 0.2313 0.3796
F 0.6849 0.3268 0.5044
F 0.2313 0.2517 0.8796

Number 1: E_form (uncorrected) -2199 meV/atom. Number 2: E_form (uncorrected) -2801 meV/atom. Number 3: E_form (uncorrected) -4093 meV/atom. Number 4: E_form (uncorrected) -3849 meV/atom. Number 5: E_form (uncorrected) -1120 meV/atom. Number 6: E_form (uncorrected) -3787 meV/atom.